[1]
# KCa3Rh | Alexandria | PBE | relaxed
# E_form in eV per atom: 0.459
# Distance to the lowest polymorph of the same formula in eV per atom: 0.649
# Space-group type: Cmcm, No. 63
data_KCa3Rh
_chemical_formula_sum 'K2 Ca6 Rh2'
_cell_length_a 11.9592
_cell_length_b 11.9592
_cell_length_c 5.5545
_cell_angle_alpha 90.00
_cell_angle_beta 90.00
_cell_angle_gamma 147.55
_space_group_name_H-M_alt 'P 1'
_space_group_IT_number 1
loop_
_space_group_symop_operation_xyz
'x,y,z'
loop_
_atom_site_label
_atom_site_fract_x
_atom_site_fract_y
_atom_site_fract_z
Rh1 0.5031 0.4969 0.2500
Rh2 0.4969 0.5031 0.7500
Ca1 0.0000 0.0000 0.0000
Ca2 0.1708 0.3763 0.2500
Ca3 0.0000 0.0000 0.5000
Ca4 0.6237 0.8292 0.2500
Ca5 0.3763 0.1708 0.7500
Ca6 0.8292 0.6237 0.7500
K1 0.7841 0.2159 0.7500
K2 0.2159 0.7841 0.2500

[2]
# KCa3Rh | Alexandria | PBE | relaxed
# E_form in eV per atom: -0.137
# Distance to the lowest polymorph of the same formula in eV per atom: 0.054
# Space-group type: P2_1/c, No. 14
data_KCa3Rh
_chemical_formula_sum 'K4 Ca12 Rh4'
_cell_length_a 25.9746
_cell_length_b 7.5422
_cell_length_c 10.0094
_cell_angle_alpha 90.00
_cell_angle_beta 157.88
_cell_angle_gamma 90.00
_space_group_name_H-M_alt 'P 1'
_space_group_IT_number 1
loop_
_space_group_symop_operation_xyz
'x,y,z'
loop_
_atom_site_label
_atom_site_fract_x
_atom_site_fract_y
_atom_site_fract_z
Ca1 0.5928 0.0012 0.5787
Ca2 0.8447 0.0203 0.8047
Ca3 0.8008 0.8362 0.3719
Ca4 0.3008 0.6638 0.8719
Ca5 0.9072 0.5012 0.9213
Ca6 0.6992 0.3362 0.1281
Ca7 0.3447 0.4797 0.3047
Ca8 0.4072 0.9988 0.4213
Ca9 0.0928 0.4988 0.0787
Ca10 0.1553 0.9797 0.1953
Ca11 0.6553 0.5203 0.6953
Ca12 0.1992 0.1638 0.6281
Rh1 0.9594 0.1922 0.8650
Rh2 0.4594 0.3078 0.3650
Rh3 0.5406 0.6922 0.6350
Rh4 0.0406 0.8078 0.1350
K1 0.9816 0.2380 0.4953
K2 0.0184 0.7620 0.5047
K3 0.5184 0.7380 0.0047
K4 0.4816 0.2620 0.9953

[3]
# KCa3Rh | Alexandria | PBE | relaxed
# E_form in eV per atom: -0.041
# Distance to the lowest polymorph of the same formula in eV per atom: 0.150
# Space-group type: P2_1/m, No. 11
data_KCa3Rh
_chemical_formula_sum 'K2 Ca6 Rh2'
_cell_length_a 6.9013
_cell_length_b 7.6051
_cell_length_c 7.2483
_cell_angle_alpha 90.00
_cell_angle_beta 89.34
_cell_angle_gamma 90.00
_space_group_name_H-M_alt 'P 1'
_space_group_IT_number 1
loop_
_space_group_symop_operation_xyz
'x,y,z'
loop_
_atom_site_label
_atom_site_fract_x
_atom_site_fract_y
_atom_site_fract_z
Ca1 0.9113 0.0025 0.2648
Ca2 0.0887 0.5025 0.7352
Ca3 0.3761 0.2500 0.1430
Ca4 0.0887 0.9975 0.7352
Ca5 0.9113 0.4975 0.2648
Ca6 0.6239 0.7500 0.8570
Rh1 0.1424 0.2500 0.4461
Rh2 0.8576 0.7500 0.5539
K1 0.6077 0.2500 0.6394
K2 0.3923 0.7500 0.3606